The following is a DFT calculation (PBE) of crystalline NaMgCd2Sn2 at its relaxed geometry.

Output
* formation energy from the elements: -0.075 eV/atom
* Fermi-level density of states: 2.21 states/eV/f.u.
* magnetic moment: 0.000 μB/atom

CIF file:
```
data_NaMgCd2Sn2
_symmetry_space_group_name_H-M 'P -3 m 1'
_symmetry_Int_Tables_number 164
_symmetry_space_group_name_Hall '-P 3 2"'
_cell_length_a 5.0993
_cell_length_b 5.0993
_cell_length_c 6.6103
_cell_angle_alpha 90.00
_cell_angle_beta 90.00
_cell_angle_gamma 120.00
loop_
_atom_site_label
_atom_site_type_symbol
_atom_site_fract_x
_atom_site_fract_y
_atom_site_fract_z
Na1 Na 0.0000 0.0000 0.0000
Mg1 Mg 0.0000 0.0000 0.5000
Cd1 Cd 0.3333 0.6667 0.7423
Sn1 Sn 0.3333 0.6667 0.2525
```